Record 1
The following is a PBE calculation of a geometry-optimized CsDyAgCl5 structure, from Alexandria.

Summary:
Total energy: -3.98 eV per atom
E_form (uncorrected): -1785.4 meV per atom

abc: 7.7975 7.7975 10.2292
angles: 101.76 101.76 109.10
Last column: nearest neighbours and their distance in Å.
Element x y z (fractional)
Cl 0.3581 0.2375 0.0684  1 Ag 2.64, 1 Dy 2.65
Cl 0.1007 0.7137 0.9139  1 Ag 2.61, 1 Dy 2.65
Cl 0.2375 0.3581 0.5684  1 Ag 2.64, 1 Dy 2.65
Cl 0.9395 0.0605 0.7500  2 Dy 2.67
Cl 0.7625 0.6419 0.4316  1 Ag 2.64, 1 Dy 2.65
Cl 0.0605 0.9395 0.2500  2 Dy 2.67
Ag 0.3133 0.6867 0.7500  4 Cl 2.61-2.64
Cl 0.8993 0.2863 0.0861  1 Ag 2.61, 1 Dy 2.65
Cl 0.2863 0.8993 0.5861  1 Ag 2.61, 1 Dy 2.65
Cs 0.6607 0.3393 0.7500  7 Cl 3.49-3.73
Cl 0.7137 0.1007 0.4139  1 Ag 2.61, 1 Dy 2.65
Dy 0.0000 0.0000 0.0000  6 Cl 2.65-2.67
Ag 0.6867 0.3133 0.2500  4 Cl 2.61-2.64
Dy 0.0000 0.0000 0.5000  6 Cl 2.65-2.67
Cl 0.6419 0.7625 0.9316  1 Ag 2.64, 1 Dy 2.65
Cs 0.3393 0.6607 0.2500  7 Cl 3.49-3.73

---

Record 2
The following is a PBE calculation of a geometry-optimized Cs2ErAg2Cl6 structure, from Alexandria.

Summary:
Total energy: -3.61 eV per atom
E_form (uncorrected): -1514.0 meV per atom

abc: 7.7076 7.7213 8.8470
angles: 117.68 90.00 119.94
Last column: nearest neighbours and their distance in Å.
Element x y z (fractional)
Cl 0.2115 0.8899 0.2495  1 Er 2.63, 1 Ag 2.73
Er 0.5000 0.0000 0.5000  6 Cl 2.63
Cl 0.2799 0.5597 0.4176  1 Er 2.63, 1 Ag 2.65
Cl 0.6784 0.8899 0.2495  1 Er 2.63, 1 Ag 2.73
Cs 0.2900 0.5799 0.8184  5 Cl 3.48-3.69
Cl 0.7201 0.4403 0.5824  1 Er 2.63, 1 Ag 2.65
Ag 0.0484 0.0969 0.1799  3 Cl 2.65-2.73, 1 Ag 2.72
Ag 0.9516 0.9031 0.8201  3 Cl 2.65-2.73, 1 Ag 2.72
Cl 0.3216 0.1101 0.7505  1 Er 2.63, 1 Ag 2.73
Cl 0.7885 0.1101 0.7505  1 Er 2.63, 1 Ag 2.73
Cs 0.7100 0.4201 0.1816  5 Cl 3.48-3.69

---

Record 3
The following is a PBE calculation of a geometry-optimized CsErAgCl5 structure, from Alexandria.

Summary:
Total energy: -3.97 eV per atom
E_form (uncorrected): -1784.6 meV per atom

abc: 7.7701 7.7701 10.1599
angles: 101.66 101.66 109.20
Last column: nearest neighbours and their distance in Å.
Element x y z (fractional)
Cl 0.2362 0.3564 0.5678  1 Er 2.62, 1 Ag 2.64
Cs 0.3389 0.6611 0.2500  7 Cl 3.49-3.71
Ag 0.3133 0.6867 0.7500  4 Cl 2.61-2.64
Er 0.0000 0.0000 0.5000  6 Cl 2.62-2.65
Cl 0.7155 0.1003 0.4152  1 Ag 2.61, 1 Er 2.62
Er 0.0000 0.0000 0.0000  6 Cl 2.62-2.65
Cl 0.7638 0.6436 0.4322  1 Er 2.62, 1 Ag 2.64
Cl 0.0591 0.9409 0.2500  2 Er 2.65
Cs 0.6611 0.3389 0.7500  7 Cl 3.49-3.71
Cl 0.2845 0.8997 0.5848  1 Ag 2.61, 1 Er 2.62
Cl 0.1003 0.7155 0.9152  1 Ag 2.61, 1 Er 2.62
Cl 0.3564 0.2362 0.0678  1 Er 2.62, 1 Ag 2.64
Cl 0.6436 0.7638 0.9322  1 Er 2.62, 1 Ag 2.64
Ag 0.6867 0.3133 0.2500  4 Cl 2.61-2.64
Cl 0.8997 0.2845 0.0848  1 Ag 2.61, 1 Er 2.62
Cl 0.9409 0.0591 0.7500  2 Er 2.65

---

Record 4
The following is a PBE calculation of a geometry-optimized Cs2ErAgCl6 structure, from Alexandria.

Summary:
Total energy: -3.88 eV per atom
E_form (uncorrected): -1858.3 meV per atom

abc: 7.6436 7.6436 7.6436
angles: 60.00 60.00 60.00
Last column: nearest neighbours and their distance in Å.
Element x y z (fractional)
Cl 0.7576 0.2424 0.2424  1 Er 2.62, 1 Ag 2.78
Cl 0.2424 0.7576 0.2424  1 Er 2.62, 1 Ag 2.78
Cs 0.7500 0.7500 0.7500  12 Cl 3.82
Cs 0.2500 0.2500 0.2500  12 Cl 3.82
Cl 0.2424 0.2424 0.7576  1 Er 2.62, 1 Ag 2.78
Cl 0.7576 0.7576 0.2424  1 Er 2.62, 1 Ag 2.78
Er 0.0000 0.0000 0.0000  6 Cl 2.62
Ag 0.5000 0.5000 0.5000  6 Cl 2.78
Cl 0.2424 0.7576 0.7576  1 Er 2.62, 1 Ag 2.78
Cl 0.7576 0.2424 0.7576  1 Er 2.62, 1 Ag 2.78

---

Record 5
The following is a PBE calculation of a geometry-optimized Cs3ErAg2Cl8 structure, from Alexandria.

Summary:
Total energy: -3.61 eV per atom
E_form (uncorrected): -1635.8 meV per atom

abc: 7.5276 7.5276 10.1660
angles: 90.00 90.00 120.00
Last column: nearest neighbours and their distance in Å.
Element x y z (fractional)
Cl 0.8381 0.1619 0.6522  1 Er 2.62, 1 Ag 2.71
Er 0.0000 0.0000 0.5000  6 Cl 2.62
Cl 0.6761 0.8381 0.3478  1 Er 2.62, 1 Ag 2.71
Cl 0.6667 0.3333 0.0392  1 Ag 2.41
Cl 0.8381 0.6761 0.6522  1 Er 2.62, 1 Ag 2.71
Cs 0.0000 0.0000 0.0000  12 Cl 4.12-4.36
Cl 0.1619 0.3239 0.3478  1 Er 2.62, 1 Ag 2.71
Cs 0.6667 0.3333 0.3622  1 Cl 3.28
Ag 0.3333 0.6667 0.1977  1 Cl 2.41
Ag 0.6667 0.3333 0.8023  1 Cl 2.41
Cl 0.3239 0.1619 0.6522  1 Er 2.62, 1 Ag 2.71
Cl 0.3333 0.6667 0.9608  1 Ag 2.41
Cs 0.3333 0.6667 0.6378  1 Cl 3.28
Cl 0.1619 0.8381 0.3478  1 Er 2.62, 1 Ag 2.71

---

Record 6
The following is a PBE calculation of a geometry-optimized Cs2EuAgCl6 structure, from Alexandria.

Summary:
Total energy: -4.30 eV per atom
E_form (uncorrected): -1706.9 meV per atom

abc: 7.6989 7.6989 7.6989
angles: 60.00 60.00 60.00
Last column: nearest neighbours and their distance in Å.
Element x y z (fractional)
Cl 0.2516 0.7484 0.7484  1 Ag 2.70, 1 Eu 2.74
Cl 0.7484 0.7484 0.2516  1 Ag 2.70, 1 Eu 2.74
Cl 0.2516 0.2516 0.7484  1 Ag 2.70, 1 Eu 2.74
Eu 0.0000 0.0000 0.0000  6 Cl 2.74
Cs 0.2500 0.2500 0.2500  12 Cl 3.85
Cl 0.7484 0.2516 0.2516  1 Ag 2.70, 1 Eu 2.74
Cs 0.7500 0.7500 0.7500  12 Cl 3.85
Cl 0.7484 0.2516 0.7484  1 Ag 2.70, 1 Eu 2.74
Ag 0.5000 0.5000 0.5000  6 Cl 2.70
Cl 0.2516 0.7484 0.2516  1 Ag 2.70, 1 Eu 2.74

---

Record 7
The following is a PBE calculation of a geometry-optimized Cs2AgClF2 structure, from Alexandria.

Summary:
Total energy: -3.55 eV per atom
E_form (uncorrected): -1855.0 meV per atom

abc: 4.6637 4.6637 7.8966
angles: 90.00 90.00 90.00
Last column: nearest neighbours and their distance in Å.
Element x y z (fractional)
Ag 0.0000 0.0000 0.0000  4 F 2.33
Cs 0.5000 0.5000 0.2554  4 F 3.08
F 0.0000 0.5000 0.0000  2 Ag 2.33
Cs 0.5000 0.5000 0.7446  4 F 3.08
F 0.5000 0.0000 0.0000  2 Ag 2.33
Cl 0.0000 0.0000 0.5000  8 Cs 3.82, 2 Ag 3.95

---

Record 8
The following is a PBE calculation of a geometry-optimized Cs2AgCl2F2 structure, from Alexandria.

Summary:
Total energy: -3.42 eV per atom
E_form (uncorrected): -1702.7 meV per atom

abc: 4.8915 4.8915 8.8111
angles: 106.12 106.12 90.00
Last column: nearest neighbours and their distance in Å.
Element x y z (fractional)
Ag 0.0000 0.0000 0.0000  4 F 2.45, 2 Cl 2.45
Cs 0.6224 0.6224 0.2449  4 F 3.15, 4 Cl 3.49
Cs 0.3776 0.3776 0.7551  4 F 3.15, 4 Cl 3.49
Cl 0.1510 0.1510 0.3020  1 Ag 2.45
F 0.0000 0.5000 0.0000  2 Ag 2.45
F 0.5000 0.0000 0.0000  2 Ag 2.45
Cl 0.8490 0.8490 0.6980  1 Ag 2.45